Entry 1:
A plane-wave DFT calculation with PBE was carried out for a relaxed structure of Cr3Fe.

a b c (Å): 4.4832 4.4832 4.4832
angles (deg): 134.05 134.05 67.01
With the nearest neighbours (Å) after each atom.
Sites, in units of the cell vectors:
Cr 0.5000 0.5000 0.0000  4 Fe 2.47, 8 Cr 2.56
Cr 0.7500 0.2500 0.5000  8 Cr 2.47-2.56, 4 Fe 2.56
Cr 0.2500 0.7500 0.5000  8 Cr 2.47-2.56, 4 Fe 2.56
Fe 0.0000 0.0000 0.0000  12 Cr 2.47-2.56

Summary:
- VASP energy: -36.3 eV/cell

Entry 2:
A plane-wave DFT calculation with PBE was carried out for a relaxed structure of Sc9In3N2.

a b c (Å): 6.3616 6.3616 7.8046
angles (deg): 90.00 90.00 120.00
With the nearest neighbours (Å) after each atom.
Sites, in units of the cell vectors:
Sc 0.1704 0.8296 0.6718  1 N 2.21
Sc 0.1704 0.3409 0.6718  1 N 2.21
Sc 0.5000 0.5000 0.0000  2 N 2.24
Sc 0.8296 0.6591 0.3282  1 N 2.21
Sc 0.3409 0.1704 0.3282  1 N 2.21
Sc 0.6591 0.8296 0.6718  1 N 2.21
Sc 0.8296 0.1704 0.3282  1 N 2.21
Sc 0.0000 0.5000 0.0000  2 N 2.24
Sc 0.5000 0.0000 0.0000  2 N 2.24
In 0.6667 0.3333 0.6653  12 Sc 3.18-3.19
In 0.0000 0.0000 0.0000  12 Sc 3.18
In 0.3333 0.6667 0.3347  12 Sc 3.18-3.19
N 0.6667 0.3333 0.1640  6 Sc 2.21-2.24
N 0.3333 0.6667 0.8360  6 Sc 2.21-2.24

Summary:
- Formation energy without anion corrections: -12.2 eV/f.u.
- VASP energy: -94.0 eV/cell

Entry 3:
A plane-wave DFT calculation with PBE was carried out for a relaxed structure of SrHF2.

a b c (Å): 4.8115 4.8115 7.6849
angles (deg): 71.76 71.76 90.00
With the nearest neighbours (Å) after each atom.
Sites, in units of the cell vectors:
Sr 0.0000 0.0000 0.0000  4 F 2.33
Sr 0.7500 0.2500 0.5000  4 F 2.33
H 0.5000 0.5000 0.0000  4 F 2.52
H 0.2500 0.7500 0.5000  4 F 2.52
F 0.6640 0.1250 0.2500  2 Sr 2.33, 2 H 2.52
F 0.0860 0.6250 0.2500  2 Sr 2.33, 2 H 2.52
F 0.3750 0.3360 0.7500  2 Sr 2.33, 2 H 2.52
F 0.8750 0.9140 0.7500  2 Sr 2.33, 2 H 2.52

Summary:
- VASP energy: -34.4 eV/cell

Entry 4:
A plane-wave DFT calculation with PBE was carried out for a relaxed structure of Na2Sr3Hg4Au2.

a b c (Å): 4.9793 4.9793 15.6016
angles (deg): 90.00 90.00 120.00
With the nearest neighbours (Å) after each atom.
Sites, in units of the cell vectors:
Na 0.6667 0.3333 0.4359  4 Hg 3.13-3.23, 3 Na 3.50
Na 0.3333 0.6667 0.5641  4 Hg 3.13-3.23, 3 Na 3.50
Sr 0.0000 0.0000 0.7553  6 Hg 3.37-3.42, 3 Au 3.41
Sr 0.0000 0.0000 0.0000  6 Hg 3.48, 6 Au 3.49, 2 Sr 3.82
Sr 0.0000 0.0000 0.2447  6 Hg 3.37-3.42, 3 Au 3.41
Hg 0.6667 0.3333 0.1257  3 Au 2.87
Hg 0.3333 0.6667 0.8743  3 Au 2.87
Hg 0.6667 0.3333 0.6430  4 Na 3.13-3.23, 3 Sr 3.37
Hg 0.3333 0.6667 0.3570  4 Na 3.13-3.23, 3 Sr 3.37
Au 0.6667 0.3333 0.8732  3 Hg 2.87
Au 0.3333 0.6667 0.1268  3 Hg 2.87

Summary:
- VASP energy: -20.3 eV/cell

Entry 5:
A plane-wave DFT calculation with PBE was carried out for a relaxed structure of TiRePb3.

a b c (Å): 5.3188 5.3188 5.3188
angles (deg): 90.00 90.00 90.00
With the nearest neighbours (Å) after each atom.
Sites, in units of the cell vectors:
Pb 0.0000 0.5000 0.0000  2 Re 2.66
Pb 0.0000 0.0000 0.5000  2 Re 2.66
Pb 0.5000 0.0000 0.0000  2 Re 2.66
Re 0.0000 0.0000 0.0000  6 Pb 2.66
Ti 0.5000 0.5000 0.5000  12 Pb 3.76

Summary:
- VASP energy: -25.6 eV/cell

Entry 6:
A plane-wave DFT calculation with PBE was carried out for a relaxed structure of Ho2Al4RuPt3.

a b c (Å): 4.2643 4.2643 10.0785
angles (deg): 90.00 90.00 90.00
With the nearest neighbours (Å) after each atom.
Sites, in units of the cell vectors:
Ho 0.5000 0.0000 0.2649  6 Pt 3.19-3.29, 2 Ru 3.19, 8 Al 3.22-3.42
Ho 0.0000 0.5000 0.7351  2 Ru 3.19, 6 Pt 3.19-3.29, 8 Al 3.22-3.42
Al 0.5000 0.5000 0.0000  4 Pt 2.52
Al 0.0000 0.0000 0.0000  4 Pt 2.52
Al 0.5000 0.0000 0.6234  3 Pt 2.44-2.47, 2 Ru 2.47
Al 0.0000 0.5000 0.3766  3 Pt 2.44-2.47, 2 Ru 2.47
Ru 0.5000 0.5000 0.5000  4 Al 2.47
Pt 0.0000 0.0000 0.5000  4 Al 2.47
Pt 0.5000 0.0000 0.8660  5 Al 2.44-2.52
Pt 0.0000 0.5000 0.1340  5 Al 2.44-2.52

Summary:
- VASP energy: -61.7 eV/cell

Entry 7:
A plane-wave DFT calculation with PBE was carried out for a relaxed structure of ScInW2.

a b c (Å): 2.8241 2.8241 9.2751
angles (deg): 90.00 90.00 90.00
With the nearest neighbours (Å) after each atom.
Sites, in units of the cell vectors:
In 0.5000 0.5000 0.2500  4 In 2.82, 8 W 3.04
Sc 0.5000 0.5000 0.7500  4 Sc 2.82, 8 W 3.08
W 0.0000 0.0000 0.0033  4 W 2.82, 4 In 3.04, 4 Sc 3.08
W 0.0000 0.0000 0.4967  4 W 2.82, 4 In 3.04, 4 Sc 3.08

Summary:
- VASP energy: -33.1 eV/cell

Entry 8:
A plane-wave DFT calculation with PBE was carried out for a relaxed structure of La7Nd2Sm3.

a b c (Å): 3.6232 6.6108 18.5956
angles (deg): 74.91 90.00 90.00
With the nearest neighbours (Å) after each atom.
Sites, in units of the cell vectors:
La 0.5000 0.2297 0.5090  2 La 3.14-3.50, 1 Nd 3.41
La 0.5000 0.7703 0.4910  2 La 3.14-3.50, 1 Nd 3.41
La 0.0000 0.5555 0.1664  7 La 3.62-3.77, 2 Nd 3.65, 3 Sm 3.68-3.70
La 0.0000 0.0000 0.0000  8 La 3.62-3.74, 4 Sm 3.77
La 0.0000 0.4445 0.8336  7 La 3.62-3.77, 2 Nd 3.65, 3 Sm 3.68-3.70
La 0.5000 0.9477 0.8295  1 Nd 3.61, 8 La 3.62-3.77, 3 Sm 3.70-3.73
La 0.5000 0.0523 0.1705  1 Nd 3.61, 8 La 3.62-3.77, 3 Sm 3.70-3.73
Nd 0.5000 0.6072 0.3312  5 La 3.41-3.65, 2 Nd 3.62, 2 Sm 3.69
Nd 0.5000 0.3928 0.6688  5 La 3.41-3.65, 2 Nd 3.62, 2 Sm 3.69
Sm 0.5000 0.5000 0.0000  2 Sm 3.62, 10 La 3.68-3.77
Sm 0.0000 0.1162 0.3369  2 Sm 3.62, 7 La 3.65-3.92, 4 Nd 3.69-3.85
Sm 0.0000 0.8838 0.6631  2 Sm 3.62, 7 La 3.65-3.92, 4 Nd 3.69-3.85

Summary:
- VASP energy: -57.5 eV/cell

Entry 9:
A plane-wave DFT calculation with PBE was carried out for a relaxed structure of PdPbS.

a b c (Å): 6.3297 6.3297 6.3297
angles (deg): 90.00 90.00 90.00
With the nearest neighbours (Å) after each atom.
Sites, in units of the cell vectors:
Pd 0.0275 0.0275 0.0275  3 S 2.48
Pd 0.4725 0.9725 0.5275  3 S 2.48
Pd 0.5275 0.4725 0.9725  3 S 2.48
Pd 0.9725 0.5275 0.4725  3 S 2.48
Pb 0.3720 0.3720 0.3720  1 S 2.76, 3 Pd 2.79
Pb 0.1280 0.6280 0.8720  1 S 2.76, 3 Pd 2.79
Pb 0.8720 0.1280 0.6280  1 S 2.76, 3 Pd 2.79
Pb 0.6280 0.8720 0.1280  1 S 2.76, 3 Pd 2.79
S 0.6238 0.6238 0.6238  3 Pd 2.48, 1 Pb 2.76
S 0.8762 0.3762 0.1238  3 Pd 2.48, 1 Pb 2.76
S 0.1238 0.8762 0.3762  3 Pd 2.48, 1 Pb 2.76
S 0.3762 0.1238 0.8762  3 Pd 2.48, 1 Pb 2.76

Summary:
- Formation energy without anion corrections: -1.0 eV/f.u.
- VASP energy: -56.2 eV/cell

Entry 10:
A plane-wave DFT calculation with PBE was carried out for a relaxed structure of La2Tl2Hg.

a b c (Å): 9.1481 9.1481 9.1481
angles (deg): 152.57 152.57 39.19
With the nearest neighbours (Å) after each atom.
Sites, in units of the cell vectors:
La 0.5920 0.5920 0.0000  1 La 3.17, 4 Hg 3.45, 4 Tl 3.48
La 0.4080 0.4080 0.0000  1 La 3.17, 4 Hg 3.45, 4 Tl 3.48
Tl 0.2500 0.7500 0.5000  4 Tl 3.07
Tl 0.7500 0.2500 0.5000  4 Tl 3.07
Hg 0.0000 0.0000 0.0000  8 La 3.45

Summary:
- VASP energy: -15.5 eV/cell

Entry 11:
A plane-wave DFT calculation with PBE was carried out for a relaxed structure of Ge5SeS4.

a b c (Å): 3.8760 6.7120 8.6651
angles (deg): 75.02 77.08 73.22
With the nearest neighbours (Å) after each atom.
Sites, in units of the cell vectors:
Ge 0.2040 0.8966 0.6955  5 S 2.70-2.76, 1 Se 2.79
Ge 0.7960 0.1034 0.3045  5 S 2.70-2.76, 1 Se 2.79
Ge 0.3992 0.3105 0.8911  4 S 2.66-2.81, 2 Se 2.80
Ge 0.0000 0.5000 0.5000  6 S 2.72-2.73
Ge 0.6008 0.6895 0.1089  4 S 2.66-2.81, 2 Se 2.80
Se 0.0000 0.0000 0.0000  6 Ge 2.79-2.80
S 0.5967 0.2035 0.6031  6 Ge 2.66-2.76
S 0.2008 0.3935 0.2049  6 Ge 2.70-2.81
S 0.7992 0.6065 0.7951  6 Ge 2.70-2.81
S 0.4033 0.7965 0.3969  6 Ge 2.66-2.76

Summary:
- Formation energy without anion corrections: -2.0 eV/f.u.
- VASP energy: -45.1 eV/cell

Entry 12:
A plane-wave DFT calculation with PBE was carried out for a relaxed structure of LiThIn2Te4.

a b c (Å): 4.4343 8.1328 7.7252
angles (deg): 72.05 90.00 90.00
With the nearest neighbours (Å) after each atom.
Sites, in units of the cell vectors:
Li 0.5000 0.5000 0.0000  6 Te 3.11-3.20
Th 0.0000 0.5000 0.5000  6 Te 3.11-3.14
In 0.0000 0.0000 0.0000  6 Te 3.30-3.31
In 0.5000 0.0000 0.5000  6 Te 3.24-3.30
Te 0.0000 0.7407 0.7441  1 Th 3.11, 2 Li 3.20, 3 In 3.24-3.31
Te 0.0000 0.2593 0.2559  1 Th 3.11, 2 Li 3.20, 3 In 3.24-3.31
Te 0.5000 0.7316 0.2544  1 Li 3.11, 2 Th 3.14, 3 In 3.30
Te 0.5000 0.2684 0.7456  1 Li 3.11, 2 Th 3.14, 3 In 3.30

Summary:
- Formation energy without anion corrections: -5.5 eV/f.u.
- VASP energy: -32.9 eV/cell